4
Lattice="2.7644 0.0000 0.0000 0.0000 3.8949 0.0000 -0.0216 0.0000 5.6364" Properties=species:S:1:pos:R:3 comment="Os3Au (PBE, optimized geometry)" sg="P2/m, No. 10" dos_ef_per_ev_cell=4.38 polymorph_energy_ev_per_atom=0.1631 formation_energy_ev_per_atom=0.483 pbc="T T T"
Os 0.0000 0.0000 0.0000
Os 1.3593 1.9475 4.3472
Os 1.3835 1.9475 1.2892
Au -0.0108 0.0000 2.8182



6
Lattice="5.0315 0.0000 0.0000 -2.5158 4.3574 0.0000 0.0000 0.0000 4.5906" Properties=species:S:1:pos:R:3 comment="Os5Au (PBE, optimized geometry)" sg="P6/mmm, No. 191" dos_ef_per_ev_cell=8.77 polymorph_energy_ev_per_atom=0.6710 formation_energy_ev_per_atom=0.982 pbc="T T T"
Os -1.2579 2.1787 0.0000
Os 0.0000 2.9049 2.2953
Os 2.5158 0.0000 0.0000
Os 1.2579 2.1787 0.0000
Os 2.5158 1.4525 2.2953
Au 0.0000 0.0000 2.2953



4
Lattice="2.7664 0.0000 0.0000 0.0000 2.7664 0.0000 0.0000 0.0000 7.9341" Properties=species:S:1:pos:R:3 comment="Os3Au (PBE, optimized geometry)" sg="P4/mmm, No. 123" dos_ef_per_ev_cell=5.09 polymorph_energy_ev_per_atom=0.1088 formation_energy_ev_per_atom=0.428 pbc="T T T"
Os 0.0000 0.0000 0.0000
Os 1.3832 1.3832 1.8482
Os 1.3832 1.3832 6.0859
Au 0.0000 0.0000 3.9670



| no. | magnetization (μB/cell) |
| --- | --- |
| 1 | 0.0 |
| 2 | 0.0 |
| 3 | 0.0 |